DFT (PBEsol) results for a relaxed SrIn2Ir crystal.

DOS at the Fermi energy, states/eV/cell: 4.0
Energy of formation from the pure elements, kJ/mol of atoms: -40.5
Symmetry: Cmcm (63)

Unit cell a=4.329 b=5.852 c=7.947 alpha=90.00 beta=90.00 gamma=111.71
Positions (direct):
1 Sr 0.938 0.876 0.750
2 Ir 0.782 0.563 0.250
3 Sr 0.062 0.124 0.250
4 Ir 0.218 0.437 0.750
5 In 0.653 0.306 0.947
6 In 0.347 0.694 0.053
7 In 0.347 0.694 0.447
8 In 0.653 0.306 0.553